First-principles (PBE-GGA) data for crystalline MgTcPt6 at its relaxed geometry, as listed in the Alexandria database.

**Energy**: -50.968 eV for the cell shown
**E_form**: -0.35 eV/atom

Cell lengths 3.9456, 3.9456, 7.9470 Å; angles 90.00, 90.00, 90.00 degrees
Last column: nearest neighbours and their distance in Å.
Space group P4/mmm (No. 123)
Symmetry-distinct sites (fractional):
Mg 0.0000 0.0000 0.0000 x1  12 Pt 2.79-2.84
Tc 0.0000 0.0000 0.5000 x1  12 Pt 2.76-2.79
Pt 0.0000 0.5000 0.2570 x4  2 Tc 2.76, 8 Pt 2.76-2.84, 2 Mg 2.84
Pt 0.5000 0.5000 0.0000 x1  4 Mg 2.79, 8 Pt 2.84
Pt 0.5000 0.5000 0.5000 x1  8 Pt 2.76, 4 Tc 2.79

=====

First-principles (PBE-GGA) data for crystalline PmY3Co8 at its relaxed geometry, as listed in the Alexandria database.

**Energy**: -248.361 eV for the cell shown
**E_form**: -0.15 eV/atom

Cell lengths 5.1005, 5.1005, 25.0075 Å; angles 90.00, 90.00, 120.00 degrees
Last column: nearest neighbours and their distance in Å.
Space group R3m (No. 160, hexagonal axes)
Symmetry-distinct sites (fractional):
Pm 0.0000 0.0000 0.0000 x3  12 Co 2.99-3.01, 4 Y 3.12-3.13
Y 0.0000 0.0000 0.1251 x3  12 Co 2.97-2.99, 3 Y 3.12, 1 Pm 3.13
Y 0.0000 0.0000 0.5003 x3  12 Co 2.97-2.99, 4 Y 3.12
Y 0.0000 0.0000 0.6251 x3  12 Co 2.99-3.02, 1 Y 3.12, 3 Pm 3.12
Co 0.0000 0.0000 0.3124 x3  6 Co 2.56-2.57
Co 0.0000 0.0000 0.8127 x3  6 Co 2.54
Co 0.0014 0.5007 0.0636 x9  6 Co 2.54-2.57
Co 0.1678 0.3355 0.8951 x9  6 Co 2.53-2.57

=====

First-principles (PBE-GGA) data for crystalline BaGdCdGa at its relaxed geometry, as listed in the Alexandria database.

**Energy**: -83.906 eV for the cell shown
**E_form**: -0.26 eV/atom

Cell lengths 7.8763, 7.8763, 7.8763 Å; angles 90.00, 90.00, 90.00 degrees
Last column: nearest neighbours and their distance in Å.
Space group F-43m (No. 216)
Symmetry-distinct sites (fractional):
Ba 0.0000 0.0000 0.0000 x4  4 Cd 3.41, 4 Ga 3.41
Gd 0.0000 0.0000 0.5000 x4  4 Ga 3.41, 4 Cd 3.41
Cd 0.2500 0.2500 0.7500 x4  4 Gd 3.41, 4 Ba 3.41
Ga 0.2500 0.2500 0.2500 x4  4 Gd 3.41, 4 Ba 3.41

=====

First-principles (PBE-GGA) data for crystalline Li3Ho12Hg5 at its relaxed geometry, as listed in the Alexandria database.

**Energy**: -444.483 eV for the cell shown
**E_form**: 0.33 eV/atom

Cell lengths 17.5439, 17.5439, 17.5439 Å; angles 90.00, 90.00, 90.00 degrees
Last column: nearest neighbours and their distance in Å.
Space group Ia-3d (No. 230)
Symmetry-distinct sites (fractional):
Li 0.0000 0.2500 0.1250 x24  8 Ho 3.11-3.34
Ho 0.0175 0.0750 0.6479 x96  2 Hg 2.92-2.93, 1 Li 3.11
Hg 0.0000 0.0000 0.0000 x16  6 Ho 2.93
Hg 0.0000 0.2500 0.3750 x24  4 Ho 2.92

=====

> What is the formula in the first record?

MgTcPt6

=====

Copy entry 3 word for word.
First-principles (PBE-GGA) data for crystalline BaGdCdGa at its relaxed geometry, as listed in the Alexandria database.

**Energy**: -83.906 eV for the cell shown
**E_form**: -0.26 eV/atom

Cell lengths 7.8763, 7.8763, 7.8763 Å; angles 90.00, 90.00, 90.00 degrees
Last column: nearest neighbours and their distance in Å.
Space group F-43m (No. 216)
Symmetry-distinct sites (fractional):
Ba 0.0000 0.0000 0.0000 x4  4 Cd 3.41, 4 Ga 3.41
Gd 0.0000 0.0000 0.5000 x4  4 Ga 3.41, 4 Cd 3.41
Cd 0.2500 0.2500 0.7500 x4  4 Gd 3.41, 4 Ba 3.41
Ga 0.2500 0.2500 0.2500 x4  4 Gd 3.41, 4 Ba 3.41

=====

> Among the records above, which one has the lowest energy?

Li3Ho12Hg5